This record from Alexandria via LeMat-Bulk describes a relaxed NpScPb2 crystal. The functional is GGA-PBE.

Properties
The energy of formation from the pure elements is -39 meV per atom. For the energy above the most stable polymorph in this dataset, the calculation gives 0.0 meV per atom. Its symmetry is P4/mmm, No. 123. As for the crystal system: tetragonal.

a = 3.385 Å, b = 3.385 Å, c = 9.041 Å
α = 90.00°, β = 90.00°, γ = 90.00°
Last column: magnetic moment on the atom in μB.
Element x y z (fractional)
Pb 0.000 0.000 0.236  -0.03
Sc 0.500 0.500 0.000  0.31
Np 0.500 0.500 0.500  4.39
Pb 0.000 0.000 0.764  -0.03